No. 1
# SCAN CeB2Ir2Rh, single point on PBEsol structure
# Calculated formation energy in eV per atom: -0.808
# Crystal system: orthorhombic
# E in eV for the cell shown: -480.487
data_CeB2Ir2Rh
_space_group_name_H-M_alt 'C m m m'
_space_group_IT_number 65
_space_group_name_Hall '-C 2 2'
_cell_length_a 5.443
_cell_length_b 9.400
_cell_length_c 3.105
_cell_angle_alpha 90.00
_cell_angle_beta 90.00
_cell_angle_gamma 90.00
loop_
_atom_site_label
_atom_site_type_symbol
_atom_site_fract_x
_atom_site_fract_y
_atom_site_fract_z
_atom_site_occupancy
Ce1 Ce 0.000 0.000 0.000 1
B1 B 0.000 0.334 0.000 1
Ir1 Ir 0.250 0.250 0.500 1
Rh1 Rh 0.000 0.500 0.500 1

---

No. 2
# SCAN TlFeTe2, single point on PBEsol structure
# E_form (uncorrected) in eV per atom: 0.325
# Crystal system: monoclinic
# E in eV for the cell shown: -327.378
data_TlFeTe2
_space_group_name_H-M_alt 'C 1 2/m 1'
_space_group_IT_number 12
_cell_length_a 6.116
_cell_length_b 8.429
_cell_length_c 4.187
_cell_angle_alpha 90.00
_cell_angle_beta 111.19
_cell_angle_gamma 90.00
loop_
_space_group_symop_operation_xyz
'x,y,z'
'-x,-y,-z'
'-x,y,-z'
'x,-y,z'
'x+1/2,y+1/2,z'
'-x+1/2,-y+1/2,-z'
'-x+1/2,y+1/2,-z'
'x+1/2,-y+1/2,z'
loop_
_atom_site_label
_atom_site_type_symbol
_atom_site_fract_x
_atom_site_fract_y
_atom_site_fract_z
_atom_site_occupancy
Tl1 Tl 0.000 0.000 0.000 1
Fe1 Fe 0.000 0.500 0.000 1
Te1 Te 0.250 0.250 0.500 1

---

No. 3
# SCAN Pt2SeBr, single point on PBEsol structure
# E_form (uncorrected) in eV per atom: -0.300
# Crystal system: trigonal
# E in eV for the cell shown: -543.369
# E above lowest polymorph in eV/atom: 0.0000
data_Pt2SeBr
_space_group_name_H-M_alt 'R 3 m'
_space_group_IT_number 160
_space_group_name_Hall 'R 3 -2"'
_cell_length_a 3.7945
_cell_length_b 3.7945
_cell_length_c 19.6761
_cell_angle_alpha 90.00
_cell_angle_beta 90.00
_cell_angle_gamma 120.00
loop_
_atom_site_label
_atom_site_type_symbol
_atom_site_fract_x
_atom_site_fract_y
_atom_site_fract_z
_atom_site_occupancy
Pt1 Pt 0.0000 0.0000 0.0000 1
Pt2 Pt 0.0000 0.0000 0.2605 1
Se1 Se 0.0000 0.0000 0.7202 1
Br1 Br 0.0000 0.0000 0.5252 1

---

No. 4
# SCAN RbLi3Zn, single point on PBEsol structure
# Calculated formation energy in eV per atom: 0.944
# Crystal system: cubic
# E in eV for the cell shown: -36.702
# E above lowest polymorph in eV/atom: 0.8249
data_RbLi3Zn
_space_group_name_H-M_alt 'P m -3 m'
_space_group_IT_number 221
_space_group_name_Hall '-P 4 2 3'
_cell_length_a 5.592
_cell_length_b 5.592
_cell_length_c 5.592
_cell_angle_alpha 90.00
_cell_angle_beta 90.00
_cell_angle_gamma 90.00
loop_
_atom_site_label
_atom_site_type_symbol
_atom_site_fract_x
_atom_site_fract_y
_atom_site_fract_z
_atom_site_occupancy
Rb1 Rb 0.000 0.000 0.000 1
Li1 Li 0.000 0.000 0.500 1
Zn1 Zn 0.500 0.500 0.500 1

---

No. 5
# SCAN SrZn2Fe2, single point on PBEsol structure
# Calculated formation energy in eV per atom: 0.272
# Crystal system: tetragonal
# E in eV for the cell shown: -168.410
data_SrZn2Fe2
_space_group_name_H-M_alt 'I 4/m m m'
_space_group_IT_number 139
_space_group_name_Hall '-I 4 2'
_cell_length_a 4.218
_cell_length_b 4.218
_cell_length_c 9.775
_cell_angle_alpha 90.00
_cell_angle_beta 90.00
_cell_angle_gamma 90.00
loop_
_atom_site_label
_atom_site_type_symbol
_atom_site_fract_x
_atom_site_fract_y
_atom_site_fract_z
_atom_site_occupancy
Sr1 Sr 0.000 0.000 0.000 1
Zn1 Zn 0.000 0.500 0.250 1
Fe1 Fe 0.000 0.000 0.390 1

---

No. 6
# SCAN In2TeCl, single point on PBEsol structure
# E_form (uncorrected) in eV per atom: -0.435
# Crystal system: cubic
# E in eV for the cell shown: -454.963
# E above lowest polymorph in eV/atom: 0.0661
data_In2TeCl
_space_group_name_H-M_alt 'F m -3 m'
_space_group_IT_number 225
_space_group_name_Hall '-F 4 2 3'
_cell_length_a 7.460
_cell_length_b 7.460
_cell_length_c 7.460
_cell_angle_alpha 90.00
_cell_angle_beta 90.00
_cell_angle_gamma 90.00
loop_
_atom_site_label
_atom_site_type_symbol
_atom_site_fract_x
_atom_site_fract_y
_atom_site_fract_z
_atom_site_occupancy
In1 In 0.250 0.250 0.250 1
Te1 Te 0.000 0.000 0.000 1
Cl1 Cl 0.000 0.000 0.500 1

---

No. 7
# SCAN LuAlB4, single point on PBEsol structure
# Calculated formation energy in eV per atom: -0.564
# Crystal system: orthorhombic
# E in eV for the cell shown: -384.792
# E above lowest polymorph in eV/atom: 0.0034
data_LuAlB4
_space_group_name_H-M_alt 'C m m m'
_space_group_IT_number 65
_space_group_name_Hall '-C 2 2'
_cell_length_a 7.249
_cell_length_b 9.219
_cell_length_c 3.465
_cell_angle_alpha 90.00
_cell_angle_beta 90.00
_cell_angle_gamma 90.00
loop_
_atom_site_label
_atom_site_type_symbol
_atom_site_fract_x
_atom_site_fract_y
_atom_site_fract_z
_atom_site_occupancy
Lu1 Lu 0.000 0.200 0.000 1
Al1 Al 0.181 0.500 0.000 1
B1 B 0.000 0.406 0.500 1
B2 B 0.121 0.000 0.500 1
B3 B 0.223 0.340 0.500 1

---

No. 8
# SCAN Ag2Cl, single point on PBEsol structure
# E_form (uncorrected) in eV per atom: -0.281
# Crystal system: orthorhombic
# E in eV for the cell shown: -286.225
# E above lowest polymorph in eV/atom: 0.0060
data_Ag2Cl
_space_group_name_H-M_alt 'C m c m'
_space_group_IT_number 63
_space_group_name_Hall '-C 2c 2'
_cell_length_a 3.979
_cell_length_b 15.312
_cell_length_c 4.036
_cell_angle_alpha 90.00
_cell_angle_beta 90.00
_cell_angle_gamma 90.00
loop_
_atom_site_label
_atom_site_type_symbol
_atom_site_fract_x
_atom_site_fract_y
_atom_site_fract_z
_atom_site_occupancy
Ag1 Ag 0.000 0.067 0.250 1
Ag2 Ag 0.000 0.433 0.250 1
Cl1 Cl 0.000 0.180 0.750 1

---

No. 9
# SCAN Na3TaMo, single point on PBEsol structure
# Calculated formation energy in eV per atom: 2.341
# Crystal system: cubic
# E in eV for the cell shown: -102.410
data_Na3TaMo
_space_group_name_H-M_alt 'P m -3 m'
_space_group_IT_number 221
_space_group_name_Hall '-P 4 2 3'
_cell_length_a 5.604
_cell_length_b 5.604
_cell_length_c 5.604
_cell_angle_alpha 90.00
_cell_angle_beta 90.00
_cell_angle_gamma 90.00
loop_
_atom_site_label
_atom_site_type_symbol
_atom_site_fract_x
_atom_site_fract_y
_atom_site_fract_z
_atom_site_occupancy
Na1 Na 0.000 0.000 0.500 1
Ta1 Ta 0.500 0.500 0.500 1
Mo1 Mo 0.000 0.000 0.000 1

---

No. 10
# SCAN Sb2TePdC, single point on PBEsol structure
# E_form (uncorrected) in eV per atom: 1.675
# Crystal system: tetragonal
# E in eV for the cell shown: -146.270
data_Sb2TePdC
_space_group_name_H-M_alt 'P 4/m m m'
_space_group_IT_number 123
_space_group_name_Hall '-P 4 2'
_cell_length_a 5.076
_cell_length_b 5.076
_cell_length_c 5.259
_cell_angle_alpha 90.00
_cell_angle_beta 90.00
_cell_angle_gamma 90.00
loop_
_atom_site_label
_atom_site_type_symbol
_atom_site_fract_x
_atom_site_fract_y
_atom_site_fract_z
_atom_site_occupancy
Sb1 Sb 0.000 0.500 0.000 1
Te1 Te 0.000 0.000 0.500 1
Pd1 Pd 0.000 0.000 0.000 1
C1 C 0.500 0.500 0.500 1

---

No. 11
# SCAN ZrMoH2, single point on PBEsol structure
# Crystal system: cubic
# E in eV for the cell shown: -282.984
data_ZrMoH2
_space_group_name_H-M_alt 'F m -3 m'
_space_group_IT_number 225
_space_group_name_Hall '-F 4 2 3'
_cell_length_a 5.492
_cell_length_b 5.492
_cell_length_c 5.492
_cell_angle_alpha 90.00
_cell_angle_beta 90.00
_cell_angle_gamma 90.00
loop_
_atom_site_label
_atom_site_type_symbol
_atom_site_fract_x
_atom_site_fract_y
_atom_site_fract_z
_atom_site_occupancy
Zr1 Zr 0.000 0.000 0.000 1
Mo1 Mo 0.000 0.000 0.500 1
H1 H 0.250 0.250 0.250 1

---

No. 12
# SCAN BeCl3, single point on PBEsol structure
# E_form (uncorrected) in eV per atom: -0.712
# Crystal system: orthorhombic
# E in eV for the cell shown: -124.539
# E above lowest polymorph in eV/atom: 0.0000
data_BeCl3
_space_group_name_H-M_alt 'C m c m'
_space_group_IT_number 63
_space_group_name_Hall '-C 2c 2'
_cell_length_a 10.859
_cell_length_b 11.985
_cell_length_c 2.999
_cell_angle_alpha 90.00
_cell_angle_beta 90.00
_cell_angle_gamma 90.00
loop_
_atom_site_label
_atom_site_type_symbol
_atom_site_fract_x
_atom_site_fract_y
_atom_site_fract_z
_atom_site_occupancy
Be1 Be 0.000 0.150 0.250 1
Cl1 Cl 0.000 0.417 0.750 1
Cl2 Cl 0.134 0.148 0.750 1